# Ni2IrOs

Crystalline Ni2IrOs at its relaxed geometry (PBE, Alexandria via LeMat-Bulk).

Cell and atoms, written as POSCAR:
```
Ni2IrOs
1.0
1.343 -2.258 0.000
1.343 2.258 0.000
0.000 0.000 8.764
Ni Ir Os
2 1 1
direct
0.000 0.000 0.000
0.500 0.500 0.233
0.500 0.500 0.749
0.000 0.000 0.480
```

Results
As for the magnetization: 0.3 Bohr magnetons per cell. For the uncorrected energy, the calculation gives -7.556 eV/atom. As for the crystal system: orthorhombic. As for the formation energy: 1.43 eV per formula unit. The value obtained for the excess energy over the best structure of this formula in the dataset is 339.3 meV per atom.